Material: NaTmFeO3
Method: DFT, GGA+U
State: optimized geometry

a = 3.395 Å, b = 6.599 Å, c = 9.473 Å
α = 109.59°, β = 90.00°, γ = 90.00°
Each line ends with the local moment (μB).
Sites, in units of the cell vectors:
O  0.250  0.558  0.893  0.00
Tm  0.750  0.327  0.855  0.00
Na  0.750  0.824  0.878  0.00
O  0.750  0.442  0.107  0.00
Fe  0.750  0.995  0.379  3.70
Na  0.250  0.176  0.122  0.00
Tm  0.250  0.673  0.145  0.00
Fe  0.250  0.005  0.621  3.70
O  0.750  0.175  0.604  0.11
O  0.750  0.924  0.157  0.03
O  0.250  0.825  0.396  0.11
O  0.250  0.076  0.843  0.03

Computed properties:
Its space group is P2_1/m (11). The calculation puts the total energy at -6.579 eV per atom. The calculation puts the total magnetization at 4.000 μB per formula unit.